Entry from the Alexandria database: an optimized crystal structure of MnAl3O (PBE with a Hubbard U).

The density of states at the Fermi level comes out at 0.47 states/eV/atom. The value obtained for the density is 2.5 g cm⁻³. The total energy comes out at -19.16 eV/cell. Its magnetization is 3.95 μB per cell. The value obtained for the volume is 20.4 Å³ per atom. Its energy above the lowest structure with this stoichiometry is 1146 meV/atom.

It has space group Pm-3m (No. 221), with a = 4.672 Å, b = 4.672 Å, c = 4.672 Å, α = 90.00°, β = 90.00° and γ = 90.00°. The asymmetric unit holds Mn at (0.000, 0.000, 0.000), Al at (0.000, 0.000, 0.500) and O at (0.500, 0.500, 0.500).